{
  "formula": "ThPd2Pb",
  "functional": "PBE",
  "state": "relaxed",
  "e_tot_ev_per_atom": -5.87,
  "dos_at_fermi_per_ev_cell": 1.80,
  "crystal_system": "tetragonal",
  "e_form_kj_per_mol_atoms": -47.6,
  "lattice_angstrom": [[-1.168, 3.619, -0.455], [-1.163, -0.954, -4.604], [-4.464, -1.265, 1.390]],
  "species": ["Pb", "Pd", "Pd", "Th"],
  "frac_coords": [[0.500, 0.500, 0.500], [0.000, 0.000, 0.500], [0.000, 0.500, 0.000], [0.500, 0.000, 0.000]]
}

=====

{
  "formula": "Nb2MoAs2",
  "functional": "PBE",
  "state": "relaxed",
  "e_tot_ev_per_atom": -8.32,
  "dos_at_fermi_per_ev_cell": 9.51,
  "crystal_system": "tetragonal",
  "e_form_kj_per_mol_atoms": -25.3,
  "lattice_angstrom": [[6.936, 0.000, 0.000], [0.000, 6.936, 0.000], [0.000, 0.000, 3.469]],
  "species": ["As", "As", "As", "As", "Mo", "Mo", "Nb", "Nb", "Nb", "Nb"],
  "frac_coords": [[0.350, 0.850, 0.000], [0.850, 0.650, 0.000], [0.650, 0.150, 0.000], [0.150, 0.350, 0.000], [0.000, 0.000, 0.000], [0.500, 0.500, 0.000], [0.151, 0.651, 0.500], [0.651, 0.849, 0.500], [0.849, 0.349, 0.500], [0.349, 0.151, 0.500]]
}

=====

{
  "formula": "CeZn3Pd2",
  "functional": "PBE",
  "state": "relaxed",
  "e_tot_ev_per_atom": -3.66,
  "dos_at_fermi_per_ev_cell": 14.59,
  "crystal_system": "trigonal",
  "e_form_kj_per_mol_atoms": -29.5,
  "relative_energy_mev_per_atom": 255,
  "lattice_angstrom": [[-5.844, -1.283, -1.718], [-1.484, -5.720, -1.957], [-3.852, -4.045, 4.845]],
  "species": ["Ce", "Ce", "Zn", "Zn", "Zn", "Zn", "Zn", "Zn", "Pd", "Pd", "Pd", "Pd"],
  "frac_coords": [[0.775, 0.775, 0.675], [0.225, 0.225, 0.325], [0.245, 0.720, 0.314], [0.720, 0.245, 0.314], [0.720, 0.720, 0.314], [0.280, 0.755, 0.686], [0.755, 0.280, 0.686], [0.280, 0.280, 0.686], [0.000, 0.000, 0.000], [0.000, 0.500, 0.000], [0.500, 0.500, 0.000], [0.500, 0.000, 0.000]]
}

=====

{
  "formula": "MgPaGe2",
  "functional": "PBE",
  "state": "relaxed",
  "e_tot_ev_per_atom": -5.47,
  "dos_at_fermi_per_ev_cell": 2.96,
  "crystal_system": "tetragonal",
  "e_form_kj_per_mol_atoms": -37.5,
  "relative_energy_mev_per_atom": 0,
  "lattice_angstrom": [[3.949, 0.000, 0.000], [0.000, 4.570, 0.000], [0.000, 0.000, 4.570]],
  "species": ["Ge", "Ge", "Pa", "Mg"],
  "frac_coords": [[0.000, 0.000, 0.500], [0.000, 0.500, 0.000], [0.500, 0.500, 0.500], [0.500, 0.000, 0.000]]
}

=====

{
  "formula": "KCoNi2",
  "functional": "PBE",
  "state": "relaxed",
  "e_tot_ev_per_atom": -3.96,
  "dos_at_fermi_per_ev_cell": 5.63,
  "crystal_system": "orthorhombic",
  "e_form_kj_per_mol_atoms": 94.3,
  "relative_energy_mev_per_atom": 449,
  "lattice_angstrom": [[4.913, 0.054, 0.022], [-1.659, 4.624, 0.022], [-0.012, -0.018, 2.594]],
  "species": ["Co", "K", "Ni", "Ni"],
  "frac_coords": [[0.500, 0.000, 0.500], [0.000, 0.500, 0.500], [0.000, 0.000, 0.000], [0.500, 0.500, 0.000]]
}

=====

{
  "formula": "Ca2NdY",
  "functional": "PBE",
  "state": "relaxed",
  "e_tot_ev_per_atom": -3.66,
  "dos_at_fermi_per_ev_cell": 7.52,
  "crystal_system": "tetragonal",
  "e_form_kj_per_mol_atoms": 14.1,
  "relative_energy_mev_per_atom": 46,
  "lattice_angstrom": [[5.617, 0.000, 0.000], [0.000, 5.110, 0.000], [0.000, 0.000, 5.110]],
  "species": ["Y", "Ca", "Ca", "Nd"],
  "frac_coords": [[0.500, 0.000, 0.000], [0.000, 0.000, 0.500], [0.000, 0.500, 0.000], [0.500, 0.500, 0.500]]
}

=====

{
  "formula": "MgFeCo2",
  "functional": "PBE",
  "state": "relaxed",
  "e_tot_ev_per_atom": -5.90,
  "dos_at_fermi_per_ev_cell": 4.52,
  "crystal_system": "tetragonal",
  "e_form_kj_per_mol_atoms": 16.4,
  "lattice_angstrom": [[-4.410, -1.240, 0.346], [-0.506, -4.566, 0.018], [2.663, 2.891, 2.379]],
  "species": ["Co", "Co", "Fe", "Mg"],
  "frac_coords": [[0.000, 0.000, 0.000], [0.250, 0.750, 0.500], [0.500, 0.500, 0.000], [0.750, 0.250, 0.500]]
}

=====

{
  "formula": "ZrCu2Ru2",
  "functional": "PBE",
  "state": "relaxed",
  "e_tot_ev_per_atom": -6.91,
  "dos_at_fermi_per_ev_cell": 5.51,
  "crystal_system": "tetragonal",
  "e_form_kj_per_mol_atoms": 14.4,
  "relative_energy_mev_per_atom": 43,
  "lattice_angstrom": [[3.490, 0.000, 0.000], [0.000, 3.490, 0.000], [1.745, 1.745, 6.436]],
  "species": ["Ru", "Ru", "Cu", "Cu", "Zr"],
  "frac_coords": [[0.397, 0.397, 0.207], [0.603, 0.603, 0.793], [0.750, 0.250, 0.500], [0.250, 0.750, 0.500], [0.000, 0.000, 0.000]]
}